The following is a GGA-PBEsol calculation of a geometry-optimized Al2WF structure, from the Alexandria database.

Structure (extended XYZ):
```
4
Lattice="4.383 0.000 0.000 2.192 3.796 0.000 2.192 1.265 3.579" Properties=species:S:1:pos:R:3 pbc="T T T"
Al 2.192 1.265 0.895
Al 6.575 3.796 2.684
W 4.383 2.531 1.790
F 0.000 0.000 0.000
```

VASP energy: -5.750 eV/atom